Entry from Alexandria via LeMat-Bulk: an optimized crystal structure of Mg2TaGaCo (PBE).

Geometry as extended XYZ:
```
5
Lattice="5.515 0.000 0.000 0.000 5.515 0.000 0.000 0.000 4.315" Properties=species:S:1:pos:R:3 pbc="T T T"
Ga 2.758 2.758 2.157
Ta 0.000 0.000 0.000
Mg 0.000 2.758 0.000
Mg 2.758 0.000 0.000
Co 0.000 0.000 2.157
```

## Properties
As for the electronic total energy: -3.84 eV/atom. As for the space group: No. 123. The formation energy is 1.1992 eV per atom.

***

Entry from Alexandria via LeMat-Bulk: an optimized crystal structure of EuThRh (PBE).

Geometry as extended XYZ:
```
3
Lattice="3.653 0.000 0.000 0.000 3.653 0.000 -1.827 -1.827 6.256" Properties=species:S:1:pos:R:3 pbc="T T T"
Eu 0.000 0.000 0.234
Rh 1.827 1.827 2.369
Th 0.000 0.000 3.653
```

## Properties
As for the electronic total energy: -8.78 eV/atom. As for the space group: No. 107. The formation energy is -0.4307 eV per atom.

***

Entry from Alexandria via LeMat-Bulk: an optimized crystal structure of CaAcIr2O8 (PBE).

Geometry as extended XYZ:
```
12
Lattice="-2.394 5.270 1.617 -2.791 -5.130 1.418 3.616 -0.256 6.188" Properties=species:S:1:pos:R:3 pbc="T T T"
O -2.975 0.893 3.855
O -0.015 -3.620 6.091
O 0.769 1.570 7.190
O -1.233 -0.938 6.914
O 1.406 -1.009 5.369
O -1.554 3.503 3.133
O -0.336 0.821 2.310
O -2.338 -1.686 2.033
Ir -1.946 1.762 2.545
Ir 0.377 -1.879 6.679
Ac 1.808 -0.128 3.094
Ca 0.000 0.000 0.000
```

## Properties
As for the electronic total energy: -6.60 eV/atom. As for the space group: No. 164. The uncorrected formation energy is -126.7 kJ/mol of atoms.

***

In μB/atom, the M_tot values for the records above are, in order, 0.00; 2.55; 0.08.